# 1
Compound: ZrBi3Sb
Source: the Alexandria database
Functional: PBE
Structure: relaxed

## Properties
* density of states at the Fermi level: 5.1 states/eV/cell
* energy above the most stable polymorph in this dataset: 0.0000 eV per atom
* formation energy (no corrections): 455 meV/atom
* M_tot: 0.00 Bohr magnetons per cell

Geometry as CIF:
```
data_ZrBi3Sb
_cell_length_a 5.663
_cell_length_b 5.663
_cell_length_c 5.663
_cell_angle_alpha 90.00
_cell_angle_beta 90.00
_cell_angle_gamma 90.00
_symmetry_space_group_name_H-M 'P m -3 m'
_symmetry_Int_Tables_number 221
_symmetry_space_group_name_Hall '-P 4 2 3'
loop_
_atom_site_label
_atom_site_type_symbol
_atom_site_fract_x
_atom_site_fract_y
_atom_site_fract_z
Zr1 Zr 0.000 0.000 0.000
Bi1 Bi 0.000 0.000 0.500
Sb1 Sb 0.500 0.500 0.500
```



# 2
Compound: H2SeF4
Source: the Alexandria database
Functional: PBE
Structure: relaxed

## Properties
* density of states at the Fermi level: 6.7 states/eV/cell
* M_tot: 3.97 Bohr magnetons per cell
* E: -2.95 eV per atom

Geometry as CIF:
```
data_H2SeF4
_cell_length_a 4.116
_cell_length_b 4.116
_cell_length_c 14.046
_cell_angle_alpha 90.00
_cell_angle_beta 90.00
_cell_angle_gamma 90.00
_symmetry_space_group_name_H-M 'I 4/m m m'
_symmetry_Int_Tables_number 139
_symmetry_space_group_name_Hall '-I 4 2'
loop_
_atom_site_label
_atom_site_type_symbol
_atom_site_fract_x
_atom_site_fract_y
_atom_site_fract_z
H1 H 0.000 0.000 0.181
Se1 Se 0.000 0.000 0.500
F1 F 0.000 0.000 0.370
F2 F 0.000 0.500 0.000
```



# 3
Compound: KSc4Ge3O12
Source: the Alexandria database
Functional: PBE
Structure: relaxed

## Properties
* density of states at the Fermi level: 14.2 states/eV/cell
* formation energy (no corrections): -2359 meV/atom
* M_tot: 0.00 Bohr magnetons per cell

Geometry as CIF:
```
data_KSc4Ge3O12
_cell_length_a 7.805
_cell_length_b 7.805
_cell_length_c 7.805
_cell_angle_alpha 90.00
_cell_angle_beta 90.00
_cell_angle_gamma 90.00
_symmetry_space_group_name_H-M 'I m -3'
_symmetry_Int_Tables_number 204
_symmetry_space_group_name_Hall '-I 2 2 3'
loop_
_atom_site_label
_atom_site_type_symbol
_atom_site_fract_x
_atom_site_fract_y
_atom_site_fract_z
K1 K 0.000 0.000 0.000
Sc1 Sc 0.250 0.250 0.250
Ge1 Ge 0.000 0.000 0.500
O1 O 0.000 0.327 0.170
```



# 4
Compound: RbY3Ni
Source: the Alexandria database
Functional: PBE
Structure: relaxed

## Properties
* density of states at the Fermi level: 2.9 states/eV/cell
* energy above the most stable polymorph in this dataset: 1.5349 eV per atom
* M_tot: 0.00 Bohr magnetons per cell
* ΔH_f (0 K): 1716 meV per atom

Geometry as CIF:
```
data_RbY3Ni
_cell_length_a 5.333
_cell_length_b 5.333
_cell_length_c 5.333
_cell_angle_alpha 90.00
_cell_angle_beta 90.00
_cell_angle_gamma 90.00
_symmetry_space_group_name_H-M 'P m -3 m'
_symmetry_Int_Tables_number 221
_symmetry_space_group_name_Hall '-P 4 2 3'
loop_
_atom_site_label
_atom_site_type_symbol
_atom_site_fract_x
_atom_site_fract_y
_atom_site_fract_z
Rb1 Rb 0.000 0.000 0.000
Y1 Y 0.000 0.000 0.500
Ni1 Ni 0.500 0.500 0.500
```



# 5
Compound: Ti2InCuPt
Source: the Alexandria database
Functional: PBE
Structure: relaxed

## Properties
* density of states at the Fermi level: 5.8 states/eV/cell
* M_tot: 1.22 Bohr magnetons per cell
* ΔH_f (0 K): 1160 meV per atom

Geometry as CIF:
```
data_Ti2InCuPt
_cell_length_a 4.989
_cell_length_b 4.989
_cell_length_c 4.530
_cell_angle_alpha 90.00
_cell_angle_beta 90.00
_cell_angle_gamma 90.00
_symmetry_space_group_name_H-M 'P 4/m m m'
_symmetry_Int_Tables_number 123
_symmetry_space_group_name_Hall '-P 4 2'
loop_
_atom_site_label
_atom_site_type_symbol
_atom_site_fract_x
_atom_site_fract_y
_atom_site_fract_z
Ti1 Ti 0.000 0.500 0.000
In1 In 0.000 0.000 0.000
Cu1 Cu 0.000 0.000 0.500
Pt1 Pt 0.500 0.500 0.500
```



# 6
Compound: ErScRhAu
Source: the Alexandria database
Functional: PBE
Structure: relaxed

## Properties
* density of states at the Fermi level: 4.5 states/eV/cell
* energy above the most stable polymorph in this dataset: 0.0000 eV per atom
* M_tot: 0.00 Bohr magnetons per cell
* ΔH_f (0 K): -879 meV per atom

Geometry as CIF:
```
data_ErScRhAu
_cell_length_a 3.430
_cell_length_b 3.430
_cell_length_c 6.704
_cell_angle_alpha 90.00
_cell_angle_beta 90.00
_cell_angle_gamma 90.00
_symmetry_space_group_name_H-M 'P 4 m m'
_symmetry_Int_Tables_number 99
loop_
_symmetry_equiv_pos_as_xyz
'x,y,z'
'-y,x,z'
'-x,-y,z'
'y,-x,z'
'-x,y,z'
'y,x,z'
'x,-y,z'
'-y,-x,z'
loop_
_atom_site_label
_atom_site_type_symbol
_atom_site_fract_x
_atom_site_fract_y
_atom_site_fract_z
Er1 Er 0.000 0.000 0.000
Sc1 Sc 0.000 0.000 0.526
Rh1 Rh 0.500 0.500 0.748
Au1 Au 0.500 0.500 0.280
```



# 7
Compound: ZnCoCu2Ni
Source: the Alexandria database
Functional: PBE
Structure: relaxed

## Properties
* density of states at the Fermi level: 4.4 states/eV/cell
* M_tot: 1.83 Bohr magnetons per cell
* ΔH_f (0 K): 999 meV per atom

Geometry as CIF:
```
data_ZnCoCu2Ni
_cell_length_a 4.353
_cell_length_b 4.353
_cell_length_c 4.360
_cell_angle_alpha 90.00
_cell_angle_beta 90.00
_cell_angle_gamma 90.00
_symmetry_space_group_name_H-M 'P 4/m m m'
_symmetry_Int_Tables_number 123
_symmetry_space_group_name_Hall '-P 4 2'
loop_
_atom_site_label
_atom_site_type_symbol
_atom_site_fract_x
_atom_site_fract_y
_atom_site_fract_z
Zn1 Zn 0.000 0.000 0.000
Co1 Co 0.500 0.500 0.000
Cu1 Cu 0.000 0.500 0.500
Ni1 Ni 0.000 0.000 0.500
```



# 8
Compound: CdMo2Os
Source: the Alexandria database
Functional: PBE
Structure: relaxed

## Properties
* density of states at the Fermi level: 5.9 states/eV/cell
* M_tot: 0.00 Bohr magnetons per cell
* ΔH_f (0 K): 435 meV per atom

Geometry as CIF:
```
data_CdMo2Os
_cell_length_a 5.564
_cell_length_b 8.273
_cell_length_c 2.802
_cell_angle_alpha 90.00
_cell_angle_beta 90.00
_cell_angle_gamma 90.00
_symmetry_space_group_name_H-M 'C m m m'
_symmetry_Int_Tables_number 65
_symmetry_space_group_name_Hall '-C 2 2'
loop_
_atom_site_label
_atom_site_type_symbol
_atom_site_fract_x
_atom_site_fract_y
_atom_site_fract_z
Cd1 Cd 0.000 0.000 0.000
Mo1 Mo 0.250 0.250 0.500
Os1 Os 0.000 0.500 0.000
```



# 9
Compound: LiUSnS4
Source: the Alexandria database
Functional: PBE
Structure: relaxed

## Properties
* density of states at the Fermi level: 19.3 states/eV/cell
* formation energy (no corrections): -1036 meV/atom
* M_tot: 3.96 Bohr magnetons per cell

Geometry as CIF:
```
data_LiUSnS4
_cell_length_a 7.886
_cell_length_b 8.005
_cell_length_c 11.585
_cell_angle_alpha 90.00
_cell_angle_beta 90.00
_cell_angle_gamma 90.00
_symmetry_space_group_name_H-M 'I m m a'
_symmetry_Int_Tables_number 74
_symmetry_space_group_name_Hall '-I 2b 2'
loop_
_atom_site_label
_atom_site_type_symbol
_atom_site_fract_x
_atom_site_fract_y
_atom_site_fract_z
Li1 Li 0.000 0.250 0.138
U1 U 0.000 0.000 0.500
Sn1 Sn 0.250 0.250 0.750
S1 S 0.000 0.003 0.279
S2 S 0.227 0.250 0.504
```



# 10
Compound: Ni6Sn2HN
Source: the Alexandria database
Functional: PBE
Structure: relaxed

## Properties
* density of states at the Fermi level: 11.6 states/eV/cell
* M_tot: 0.00 Bohr magnetons per cell
* E: -5.52 eV per atom

Geometry as CIF:
```
data_Ni6Sn2HN
_cell_length_a 5.439
_cell_length_b 5.439
_cell_length_c 7.660
_cell_angle_alpha 90.00
_cell_angle_beta 90.00
_cell_angle_gamma 90.00
_symmetry_space_group_name_H-M 'I 4/m m m'
_symmetry_Int_Tables_number 139
_symmetry_space_group_name_Hall '-I 4 2'
loop_
_atom_site_label
_atom_site_type_symbol
_atom_site_fract_x
_atom_site_fract_y
_atom_site_fract_z
Ni1 Ni 0.000 0.000 0.250
Ni2 Ni 0.249 0.249 0.000
Sn1 Sn 0.000 0.500 0.250
H1 H 0.000 0.000 0.500
N1 N 0.000 0.000 0.000
```



# 11
Compound: Tb7Pr3Nd2
Source: the Alexandria database
Functional: PBE
Structure: relaxed

## Properties
* density of states at the Fermi level: 14.4 states/eV/cell
* M_tot: 0.00 Bohr magnetons per cell
* ΔH_f (0 K): 82 meV per atom

Geometry as CIF:
```
data_Tb7Pr3Nd2
_cell_length_a 5.908
_cell_length_b 3.619
_cell_length_c 19.065
_cell_angle_alpha 90.00
_cell_angle_beta 93.14
_cell_angle_gamma 90.00
_symmetry_space_group_name_H-M 'P 1 2/m 1'
_symmetry_Int_Tables_number 10
loop_
_symmetry_equiv_pos_as_xyz
'x,y,z'
'-x,-y,-z'
'-x,y,-z'
'x,-y,z'
loop_
_atom_site_label
_atom_site_type_symbol
_atom_site_fract_x
_atom_site_fract_y
_atom_site_fract_z
Tb1 Tb 0.000 0.000 0.000
Tb2 Tb 0.192 0.500 0.173
Tb3 Tb 0.257 0.500 0.538
Tb4 Tb 0.310 0.000 0.857
Pr1 Pr 0.224 0.000 0.368
Pr2 Pr 0.500 0.500 0.000
Nd1 Nd 0.287 0.500 0.707
```



# 12
Compound: Ba2TiReP
Source: the Alexandria database
Functional: PBE
Structure: relaxed

## Properties
* density of states at the Fermi level: 8.8 states/eV/cell
* energy above the most stable polymorph in this dataset: 0.4153 eV per atom
* M_tot: 4.23 Bohr magnetons per cell
* ΔH_f (0 K): 1146 meV per atom

Geometry as CIF:
```
data_Ba2TiReP
_cell_length_a 6.079
_cell_length_b 6.079
_cell_length_c 4.620
_cell_angle_alpha 90.00
_cell_angle_beta 90.00
_cell_angle_gamma 90.00
_symmetry_space_group_name_H-M 'P 4/m m m'
_symmetry_Int_Tables_number 123
_symmetry_space_group_name_Hall '-P 4 2'
loop_
_atom_site_label
_atom_site_type_symbol
_atom_site_fract_x
_atom_site_fract_y
_atom_site_fract_z
Ba1 Ba 0.000 0.500 0.000
Ti1 Ti 0.000 0.000 0.000
Re1 Re 0.500 0.500 0.500
P1 P 0.000 0.000 0.500
```



| no. | mass density (g/cm3) |
| --- | --- |
| 1 | 7.7 |
| 2 | 2.2 |
| 3 | 4.4 |
| 4 | 4.5 |
| 5 | 6.9 |
| 6 | 10.8 |
| 7 | 6.2 |
| 8 | 12.7 |
| 9 | 4.5 |
| 10 | 8.9 |
| 11 | 7.4 |
| 12 | 5.3 |